No. 1
A relaxed K2SrTl crystal, computed with PBE-GGA.

The calculation puts the total magnetization at 0.00 μB per atom. The calculation puts the density of states at the Fermi level at 3.629 states/eV/f.u. The value obtained for the polymorph energy (0 for the lowest one) is 172.3 meV/atom.

It has space group Pmmm (No. 47), with a = 4.341 Å, b = 5.793 Å, c = 7.741 Å, α = 90.00°, β = 90.00° and γ = 90.00°. Symmetry generates all atoms from K at (0.000, 0.000, 0.221), Sr at (0.500, 0.500, 0.500) and Tl at (0.500, 0.500, 0.000).



No. 2
A relaxed KSr2Tl6 crystal, computed with PBE-GGA.

The calculation puts the total magnetization at 0.00 μB per atom. The calculation puts the density of states at the Fermi level at 4.945 states/eV/f.u.

It has space group P6/mmm (No. 191), with a = 9.4303 Å, b = 9.4303 Å, c = 3.8633 Å, α = 90.00°, β = 90.00° and γ = 120.00°. Symmetry generates all atoms from K at (0.0000, 0.0000, 0.0000), Sr at (0.3333, 0.6667, 0.0000) and Tl at (0.0000, 0.3354, 0.5000).



No. 3
A relaxed K2SrTl crystal, computed with PBE-GGA.

The calculation puts the total magnetization at 0.00 μB per atom. The calculation puts the density of states at the Fermi level at 4.122 states/eV/f.u. The value obtained for the polymorph energy (0 for the lowest one) is 46.2 meV/atom.

It has space group Immm (No. 71), with a = 4.159 Å, b = 5.690 Å, c = 17.473 Å, α = 90.00°, β = 90.00° and γ = 90.00°. Symmetry generates all atoms from K at (0.000, 0.000, 0.174), Sr at (0.000, 0.500, 0.000) and Tl at (0.000, 0.500, 0.500).



No. 4
A relaxed K2SrTl crystal, computed with PBE-GGA.

The calculation puts the total magnetization at 0.00 μB per atom. The calculation puts the density of states at the Fermi level at 3.831 states/eV/f.u. The value obtained for the polymorph energy (0 for the lowest one) is 178.1 meV/atom.

It has space group Cmmm (No. 65), with a = 5.854 Å, b = 5.864 Å, c = 11.760 Å, α = 90.00°, β = 90.00° and γ = 90.00°. Symmetry generates all atoms from K at (0.000, 0.000, 0.198), Sr at (0.000, 0.500, 0.500) and Tl at (0.000, 0.500, 0.000).



No. 5
A relaxed KSrTl crystal, computed with PBE-GGA.

The calculation puts the total magnetization at 0.00 μB per atom. The calculation puts the density of states at the Fermi level at 3.328 states/eV/f.u. The value obtained for the polymorph energy (0 for the lowest one) is 137.8 meV/atom.

It has space group P3m1 (No. 156), with a = 5.9906 Å, b = 5.9906 Å, c = 4.0881 Å, α = 90.00°, β = 90.00° and γ = 120.00°. Symmetry generates all atoms from K at (0.0000, 0.0000, 0.0000), Sr at (0.3333, 0.6667, 0.4076) and Tl at (0.6667, 0.3333, 0.7031).



No. 6
A relaxed K2SrTl crystal, computed with PBE-GGA.

The calculation puts the total magnetization at 0.00 μB per atom. The calculation puts the density of states at the Fermi level at 2.994 states/eV/f.u. The value obtained for the polymorph energy (0 for the lowest one) is 0.0 meV/atom.

It has space group Pm (No. 6), with a = 4.224 Å, b = 4.329 Å, c = 11.202 Å, α = 90.00°, β = 90.13° and γ = 90.00°. Symmetry generates all atoms from K at (0.000, 0.000, 0.000), K at (0.496, 0.500, 0.661), Sr at (0.000, 0.000, 0.360) and Tl at (0.500, 0.500, 0.212).



Energy relative to the elements / meV/atom: 66, -217, -60, 72, -11, -106
Ρ / g cm⁻³: 3.157, 8.040, 2.974, 3.046, 4.327, 3.001
Calculated total energy / eV/atom: -1.49, -2.29, -1.62, -1.49, -1.73, -1.67